Record 1
Sr2MoAs: relaxed, PBE.

The structure in POSCAR format:
```
Sr2MoAs
1.0
3.529 0.000 0.000
0.000 3.529 0.000
0.000 0.000 9.066
Sr Mo As
2 1 1
direct
0.000 0.000 0.000
0.500 0.500 0.408
0.500 0.500 0.748
0.000 0.000 0.646
```

For the density of states at the Fermi level, the calculation gives 3.30 states/eV/cell. For the calculated formation energy, the calculation gives 0.000 eV/atom. The total DFT energy (no corrections) comes out at -4.71 eV per atom. The symmetry is P4mm (99).



Record 2
CrGa3Br: relaxed, PBE.

The structure in POSCAR format:
```
CrGa3Br
1.0
4.971 0.000 0.000
0.000 4.971 0.000
0.000 0.000 4.971
Cr Ga Br
1 3 1
direct
0.000 0.000 0.000
0.000 0.000 0.500
0.000 0.500 0.000
0.500 0.000 0.000
0.500 0.500 0.500
```

For the density of states at the Fermi level, the calculation gives 5.20 states/eV/cell. For the uncorrected formation energy, the calculation gives 21.3 kJ per mole of atoms. The total DFT energy (no corrections) comes out at -3.86 eV per atom. The symmetry is Pm-3m (221).